BaTe2Os: relaxed, PBE.

Computed properties:
Formation energy (no corrections) in eV per atom: 0.115
Total DFT energy (no corrections) in eV/atom: -4.74

abc: 3.8681 3.8681 8.2204
angles: 90.00 90.00 90.00
Space group P4mm (No. 99)
Asymmetric unit:
Ba1 0.0000 0.0000 0.0000 x1
Te1 0.0000 0.0000 0.4065 x1
Te2 0.5000 0.5000 0.7547 x1
Os1 0.5000 0.5000 0.4388 x1